An optimized crystal structure of NbPbICl2, computed with GGA-PBE.

## Properties
Volume   193.1 Å³/f.u.
Total moment   3.14 μB per formula unit
Formation energy (no corrections)   760 meV/atom

Cell: 6.086 6.086 5.213 Å, 90.00 90.00 90.00°
Space group P4/mmm (No. 123)
Inequivalent atoms, fractional coordinates:
Nb 0.000 0.000 0.000
Pb 0.500 0.500 0.000
I 0.000 0.000 0.500
Cl 0.000 0.500 0.500